Compound: Tb6Pm2Nd3Dy
Source: Alexandria
Functional: PBE-GGA
Structure: relaxed

```
Tb6Pm2Nd3Dy
1.0
3.125 -5.411 0.000
3.125 5.411 0.000
-2.079 0.000 11.729
Tb Pm Nd Dy
6 2 3 1
Direct
0.083 0.416 0.248 Tb
0.250 0.250 0.751 Tb
0.416 0.083 0.248 Tb
0.584 0.917 0.752 Tb
0.750 0.750 0.249 Tb
0.917 0.584 0.752 Tb
0.333 0.667 0.000 Pm
0.667 0.333 0.000 Pm
0.167 0.833 0.500 Nd
0.500 0.500 0.500 Nd
0.833 0.167 0.500 Nd
0.000 0.000 0.000 Dy
```

Calculated density   7.70 g/cm³
ΔE_f   0.013 eV per atom
N(E_F)   1.261 states/eV/atom